A relaxed structure of HfFe2SnO6. Source: Alexandria, functional PBE with a Hubbard U.

The space group is P1 (No. 1) and the conventional cell measures 5.3514, 5.3922 and 5.6989 Å, with angles of 61.85, 62.15 and 60.43 degrees. The asymmetric unit holds Hf at (0.0000, 0.0000, 0.0000), Fe at (0.2850, 0.2985, 0.1354), Fe at (0.7863, 0.7982, 0.6276), Sn at (0.4957, 0.5009, 0.5042), O at (0.1110, 0.3815, 0.8068), O at (0.1971, 0.8811, 0.3090), O at (0.3836, 0.7249, 0.7912), O at (0.6031, 0.2201, 0.2928), O at (0.7150, 0.1158, 0.7928) and O at (0.8750, 0.6151, 0.2926).

The calculation puts the density of states at the Fermi level at 0.000 states/eV/atom. For the energy, the calculation gives -7.588 eV/atom.

A relaxed structure of Sr3HfFe2O9. Source: Alexandria, functional PBE with a Hubbard U.

The space group is P-3m1 (No. 164) and the conventional cell measures 5.6381, 5.6381 and 6.9149 Å, with angles of 90.00, 90.00 and 120.00 degrees. The asymmetric unit holds Sr at (0.0000, 0.0000, 0.0000), Sr at (0.3333, 0.6667, 0.6788), Hf at (0.0000, 0.0000, 0.5000), Fe at (0.3333, 0.6667, 0.1639), O at (0.0000, 0.5000, 0.0000) and O at (0.1703, 0.3406, 0.3265).

The calculation puts the density of states at the Fermi level at 0.402 states/eV/atom. For the energy, the calculation gives -7.112 eV/atom.

A relaxed structure of HfFe2TcO6. Source: Alexandria, functional PBE with a Hubbard U.

The space group is P1 (No. 1) and the conventional cell measures 5.3218, 5.3312 and 5.6306 Å, with angles of 62.38, 62.44 and 60.17 degrees. The asymmetric unit holds Hf at (0.0000, 0.0000, 0.0000), Fe at (0.2869, 0.2994, 0.1304), Fe at (0.7981, 0.7950, 0.6183), Tc at (0.4921, 0.5006, 0.5113), O at (0.1166, 0.3786, 0.7980), O at (0.2249, 0.8749, 0.2901), O at (0.3806, 0.7213, 0.7848), O at (0.6037, 0.2353, 0.2836), O at (0.7249, 0.1125, 0.7775) and O at (0.8646, 0.6197, 0.2990).

For the energy, the calculation gives -8.089 eV/atom.

A relaxed structure of HfFeTeO6. Source: Alexandria, functional PBE with a Hubbard U.

The space group is P-31c (No. 163) and the conventional cell measures 5.3218, 5.3218 and 8.9372 Å, with angles of 90.00, 90.00 and 120.00 degrees. The asymmetric unit holds Hf at (0.3333, 0.6667, 0.2500), Fe at (0.0000, 0.0000, 0.0000), Te at (0.3333, 0.6667, 0.7500) and O at (0.0071, 0.3395, 0.6286).

The calculation puts the density of states at the Fermi level at 0.085 states/eV/atom. For the energy, the calculation gives -7.163 eV/atom.

A relaxed structure of HfFe2TeO6. Source: Alexandria, functional PBE with a Hubbard U.

The space group is P1 (No. 1) and the conventional cell measures 5.4132, 5.4384 and 5.7832 Å, with angles of 89.85, 62.60 and 60.79 degrees. The asymmetric unit holds Hf at (0.0000, 0.0000, 0.0000), Fe at (0.4106, 0.2942, 0.8835), Fe at (0.4114, 0.7893, 0.3715), Te at (0.9827, 0.5111, 0.5086), O at (0.1902, 0.0717, 0.1991), O at (0.2014, 0.1920, 0.7162), O at (0.5030, 0.6075, 0.6873), O at (0.5403, 0.3684, 0.1669), O at (0.8998, 0.8798, 0.7034) and O at (0.9042, 0.7081, 0.2051).

The calculation puts the density of states at the Fermi level at 0.000 states/eV/atom. For the energy, the calculation gives -7.257 eV/atom.

A relaxed structure of HfFeTeO2. Source: Alexandria, functional PBE with a Hubbard U.

The space group is P4/mmm (No. 123) and the conventional cell measures 3.9782, 3.9782 and 7.5887 Å, with angles of 90.00, 90.00 and 90.00 degrees. The asymmetric unit holds Hf at (0.0000, 0.0000, 0.0000), Fe at (0.0000, 0.0000, 0.5000), Te at (0.5000, 0.5000, 0.5000) and O at (0.0000, 0.5000, 0.0000).

The calculation puts the density of states at the Fermi level at 0.085 states/eV/atom. For the energy, the calculation gives -6.996 eV/atom.

A relaxed structure of HfV2FeO6. Source: Alexandria, functional PBE with a Hubbard U.

The space group is P1 (No. 1) and the conventional cell measures 5.2492, 5.2610 and 5.5850 Å, with angles of 116.90, 91.03 and 119.42 degrees. The asymmetric unit holds Hf at (0.0000, 0.0000, 0.0000), V at (0.2058, 0.4180, 0.6186), V at (0.7011, 0.4140, 0.1180), Fe at (0.4927, 0.9939, 0.4943), O at (0.0933, 0.9220, 0.3283), O at (0.3015, 0.9005, 0.8287), O at (0.4137, 0.4976, 0.3152), O at (0.6005, 0.5291, 0.8342), O at (0.8234, 0.2363, 0.3153) and O at (0.9149, 0.2321, 0.8261).

For the energy, the calculation gives -8.359 eV/atom.

A relaxed structure of Hf2VFeO. Source: Alexandria, functional PBE with a Hubbard U.

The space group is P4/mmm (No. 123) and the conventional cell measures 4.7684, 4.7684 and 4.4374 Å, with angles of 90.00, 90.00 and 90.00 degrees. The asymmetric unit holds Hf at (0.0000, 0.5000, 0.0000), V at (0.0000, 0.0000, 0.5000), Fe at (0.0000, 0.0000, 0.0000) and O at (0.5000, 0.5000, 0.5000).

The calculation puts the density of states at the Fermi level at 0.715 states/eV/atom. For the energy, the calculation gives -6.296 eV/atom.